<A>
Compound: CuAs2Au
Source: Alexandria via LeMat-Bulk
Functional: SCAN
Structure: single point on PBEsol structure

Computed properties:
Magnetic moment ... 0.00 μB per cell

Lattice parameters (Å, degrees): 5.3678 7.0494 3.5056 90.00 90.00 90.00
Last column: nearest neighbours and their distance in Å.
Space group Cmmm (No. 65)
Symmetry-distinct sites (fractional):
Cu  0.0000  0.0000  0.0000 [2 per cell]  2 Au 2.68, 8 As 2.82
As  0.2500  0.2500  0.5000 [4 per cell]  2 As 2.68, 4 Cu 2.82, 4 Au 2.82
Au  0.0000  0.5000  0.0000 [2 per cell]  2 Cu 2.68, 8 As 2.82


<B>
Compound: CuAs2Au
Source: Alexandria via LeMat-Bulk
Functional: SCAN
Structure: single point on PBEsol structure

Computed properties:
Magnetic moment ... 0.00 μB per cell

Lattice parameters (Å, degrees): 3.8102 4.0385 8.5975 90.00 90.00 90.00
Last column: nearest neighbours and their distance in Å.
Space group Cmmm (No. 65)
Symmetry-distinct sites (fractional):
Cu  0.0000  0.0000  0.0000 [2 per cell]  8 As 2.67-2.76, 4 Cu 2.78
As  0.0000  0.5000  0.2180 [4 per cell]  4 Cu 2.67-2.76, 4 As 2.78
Au  0.0000  0.0000  0.5000 [2 per cell]  4 Au 2.78, 4 As 3.08


The structure with the least stability is <B>.


<A>
Compound: CuAsAu
Source: Alexandria via LeMat-Bulk
Functional: SCAN
Structure: single point on PBEsol structure

Computed properties:
Magnetic moment ... 0.00 μB per cell

Lattice parameters (Å, degrees): 5.9789 5.9789 5.9789 90.00 90.00 90.00
Last column: nearest neighbours and their distance in Å.
Space group F-43m (No. 216)
Symmetry-distinct sites (fractional):
Cu  0.0000  0.0000  0.0000 [4 per cell]  4 Au 2.59
As  0.0000  0.0000  0.5000 [4 per cell]  4 Au 2.59
Au  0.2500  0.2500  0.2500 [4 per cell]  4 As 2.59, 4 Cu 2.59


<B>
Compound: CuAsAu
Source: Alexandria via LeMat-Bulk
Functional: SCAN
Structure: single point on PBEsol structure

Computed properties:
Magnetic moment ... 0.00 μB per cell

Lattice parameters (Å, degrees): 12.0946 2.8250 2.8250 90.00 103.35 90.00
Last column: nearest neighbours and their distance in Å.
Space group Cm (No. 8)
Symmetry-distinct sites (fractional):
Cu  0.0000  0.0000  0.0000 [2 per cell]  4 As 2.63-2.64, 4 Au 2.71, 4 Cu 2.82-2.83
As  0.1462  0.5000  0.6470 [2 per cell]  4 Cu 2.63-2.64, 4 As 2.82-2.83
Au  0.3447  0.0000  0.3457 [2 per cell]  4 Cu 2.71, 4 Au 2.82-2.83


The structure with the least stability is <B>.


<A>
Compound: HgAs2Au
Source: Alexandria via LeMat-Bulk
Functional: SCAN
Structure: single point on PBEsol structure

Computed properties:
Magnetic moment ... 0.00 μB per cell

Lattice parameters (Å, degrees): 4.5539 3.7982 5.1930 90.00 106.09 90.00
Last column: nearest neighbours and their distance in Å.
Space group P2/m (No. 10)
Symmetry-distinct sites (fractional):
Hg  0.0000  0.0000  0.0000 [1 per cell]  4 As 2.92, 2 Au 2.94
As  0.2376  0.5000  0.6818 [2 per cell]  1 As 2.45, 2 Au 2.56
Au  0.5000  0.0000  0.5000 [1 per cell]  4 As 2.56


<B>
Compound: HgAs2Au
Source: Alexandria via LeMat-Bulk
Functional: SCAN
Structure: single point on PBEsol structure

Computed properties:
Magnetic moment ... 0.00 μB per cell

Lattice parameters (Å, degrees): 7.9250 2.8388 7.3219 90.00 97.35 90.00
Last column: nearest neighbours and their distance in Å.
Space group Cm (No. 8)
Symmetry-distinct sites (fractional):
Hg  0.0000  0.0000  0.0000 [2 per cell]  3 Au 2.83-3.06, 2 Hg 2.84, 3 As 2.85-3.03
As  0.0540  0.5000  0.5184 [2 per cell]  1 As 2.50, 2 Au 2.63
As  0.2325  0.5000  0.2604 [2 per cell]  1 As 2.50
Au  0.2723  0.0000  0.7398 [2 per cell]  3 As 2.63-2.92, 2 Hg 2.83, 2 Au 2.84


The structure with the least stability is <B>.